No. 1
Material: AcPm2Dy
Method: DFT, GGA-PBE
State: relaxed

Results
- Space-group type: No. 129
- Total energy: -4.512 eV per atom
- Relative energy among the computed polymorphs: 0.017 eV per formula unit
- Crystal system: tetragonal
- E_form: 0.041 eV/atom

a b c (Å): 3.7282 3.7282 20.8247
angles (deg): 90.00 90.00 90.00
With the nearest neighbours (Å) after each atom.
Atoms (fractional coordinates):
Ac  0.2504  0.2500  0.4273  8 Ac 3.73-4.02, 4 Pm 3.81
Ac  0.7496  0.7500  0.5727  8 Ac 3.73-4.02, 4 Pm 3.81
Dy  0.2508  0.2500  0.1781  8 Pm 3.59-3.61, 4 Dy 3.73
Dy  0.7492  0.7500  0.8219  8 Pm 3.59-3.61, 4 Dy 3.73
Pm  0.2497  0.2500  0.9401  4 Dy 3.61, 8 Pm 3.63-3.73
Pm  0.7509  0.7500  0.2954  4 Dy 3.59, 4 Pm 3.73, 4 Ac 3.81
Pm  0.2491  0.2500  0.7046  4 Dy 3.59, 4 Pm 3.73, 4 Ac 3.81
Pm  0.7503  0.7500  0.0599  4 Dy 3.61, 8 Pm 3.63-3.73

***

No. 2
Material: Ho4Sc2H
Method: DFT, GGA-PBE
State: relaxed

Results
- Space-group type: No. 139
- Total energy: -4.807 eV per atom
- Crystal system: tetragonal

a b c (Å): 4.6885 4.6885 8.9172
angles (deg): 74.76 74.76 90.00
With the nearest neighbours (Å) after each atom.
Atoms (fractional coordinates):
Ho  0.8443  0.8443  0.3114  1 H 2.58
Ho  0.5000  0.0000  0.0000  2 H 2.34
Ho  0.1557  0.1557  0.6886  1 H 2.58
Ho  0.0000  0.5000  0.0000  2 H 2.34
Sc  0.6431  0.6431  0.7138  9 Ho 3.32-3.33
Sc  0.3569  0.3569  0.2862  9 Ho 3.32-3.33
H  0.0000  0.0000  0.0000  6 Ho 2.34-2.58

***

No. 3
Material: CsInP
Method: DFT, GGA-PBE
State: relaxed

Results
- Space-group type: No. 14
- Total energy: -3.274 eV per atom
- Relative energy among the computed polymorphs: 0.000 eV per formula unit
- Crystal system: monoclinic
- E_form: -0.273 eV/atom

a b c (Å): 6.0291 8.8129 7.8725
angles (deg): 94.87 90.00 90.00
With the nearest neighbours (Å) after each atom.
Atoms (fractional coordinates):
In  0.7127  0.9676  0.0744  3 P 2.65-2.74, 1 In 2.90
In  0.2127  0.0324  0.4256  3 P 2.65-2.74, 1 In 2.90
In  0.7873  0.9676  0.5744  3 P 2.65-2.74, 1 In 2.90
In  0.2873  0.0324  0.9256  3 P 2.65-2.74, 1 In 2.90
P  0.5358  0.8222  0.3368  3 In 2.65-2.74
P  0.4642  0.1778  0.6632  3 In 2.65-2.74
P  0.9642  0.8222  0.8368  3 In 2.65-2.74
P  0.0358  0.1778  0.1632  3 In 2.65-2.74
Cs  0.5349  0.3506  0.2648  3 P 3.44-3.63, 2 In 3.72-3.73
Cs  0.9651  0.3506  0.7648  3 P 3.44-3.63, 2 In 3.72-3.73
Cs  0.0349  0.6494  0.2352  3 P 3.44-3.63, 2 In 3.72-3.73
Cs  0.4651  0.6494  0.7352  3 P 3.44-3.63, 2 In 3.72-3.73

***

No. 4
Material: Ca4AlZn
Method: DFT, GGA-PBE
State: relaxed

Results
- Space-group type: No. 216
- Total energy: -1.697 eV per atom
- Relative energy among the computed polymorphs: 3.812 eV per formula unit
- Crystal system: cubic
- E_form: 0.474 eV/atom

a b c (Å): 6.6327 6.6327 6.6327
angles (deg): 60.00 60.00 60.00
With the nearest neighbours (Å) after each atom.
Atoms (fractional coordinates):
Zn  0.7500  0.7500  0.7500  12 Ca 3.89, 4 Al 4.06
Ca  0.8765  0.3745  0.3745  6 Ca 3.30-3.33
Ca  0.3745  0.3745  0.8765  6 Ca 3.30-3.33
Ca  0.3745  0.3745  0.3745  6 Ca 3.30-3.33
Ca  0.3745  0.8765  0.3745  6 Ca 3.30-3.33
Al  0.0000  0.0000  0.0000  12 Ca 3.89, 4 Zn 4.06

***

No. 5
Material: La5PrMg2
Method: DFT, GGA-PBE
State: relaxed

Results
- Space-group type: No. 63
- Total energy: -4.044 eV per atom
- Relative energy among the computed polymorphs: 0.308 eV per formula unit
- Crystal system: orthorhombic
- E_form: 0.032 eV/atom

a b c (Å): 5.5215 6.6609 16.3727
angles (deg): 90.00 90.00 114.49
With the nearest neighbours (Å) after each atom.
Atoms (fractional coordinates):
La  0.3563  0.7126  0.4730  3 Mg 3.30-3.55, 1 La 3.59
La  0.0404  0.0807  0.1044  1 Mg 3.30, 3 La 3.56-3.65, 1 Pr 3.61
La  0.4724  0.9447  0.7500  1 Pr 3.20, 2 Mg 3.42
La  0.6437  0.2874  0.5270  3 Mg 3.30-3.55, 1 La 3.59
La  0.5276  0.0553  0.2500  1 Pr 3.20, 2 Mg 3.42
La  0.9596  0.9193  0.8956  1 Mg 3.30, 3 La 3.56-3.65, 1 Pr 3.61
La  0.6437  0.2874  0.9730  3 Mg 3.30-3.55, 1 La 3.59
La  0.0404  0.0807  0.3956  1 Mg 3.30, 3 La 3.56-3.65, 1 Pr 3.61
La  0.3563  0.7126  0.0270  3 Mg 3.30-3.55, 1 La 3.59
La  0.9596  0.9193  0.6044  1 Mg 3.30, 3 La 3.56-3.65, 1 Pr 3.61
Mg  0.2249  0.4498  0.8508  2 Pr 3.22, 5 La 3.30-3.55, 1 Mg 3.30
Mg  0.2249  0.4498  0.6492  2 Pr 3.22, 5 La 3.30-3.55, 1 Mg 3.30
Mg  0.7751  0.5502  0.1492  2 Pr 3.22, 5 La 3.30-3.55, 1 Mg 3.30
Mg  0.7751  0.5502  0.3508  2 Pr 3.22, 5 La 3.30-3.55, 1 Mg 3.30
Pr  0.7360  0.4721  0.7500  1 La 3.20, 4 Mg 3.22
Pr  0.2640  0.5279  0.2500  1 La 3.20, 4 Mg 3.22

***

No. 6
Material: Cs3NdHo2Te6
Method: DFT, GGA-PBE
State: relaxed

Results
- Space-group type: No. 12
- Total energy: -4.333 eV per atom
- Formation energy (no corrections): -1.388 eV/atom
- Crystal system: monoclinic

a b c (Å): 7.9438 7.9438 9.3128
angles (deg): 98.18 98.18 120.00
With the nearest neighbours (Å) after each atom.
Atoms (fractional coordinates):
Cs  0.8356  0.1644  0.5000  6 Te 3.80-3.85
Cs  0.5000  0.5000  0.5000  6 Te 3.78-3.85
Cs  0.1644  0.8356  0.5000  6 Te 3.80-3.85
Te  0.0637  0.4054  0.1911  2 Ho 3.12, 1 Nd 3.21
Te  0.7216  0.7216  0.1902  2 Ho 3.12, 1 Nd 3.20
Te  0.2784  0.2784  0.8098  2 Ho 3.12, 1 Nd 3.20
Te  0.5946  0.9363  0.8089  2 Ho 3.12, 1 Nd 3.21
Te  0.9363  0.5946  0.8089  2 Ho 3.12, 1 Nd 3.21
Te  0.4054  0.0637  0.1911  2 Ho 3.12, 1 Nd 3.21
Nd  0.0000  0.0000  0.0000  6 Te 3.20-3.21
Ho  0.6669  0.3331  0.0000  6 Te 3.12
Ho  0.3331  0.6669  0.0000  6 Te 3.12

***

No. 7
Material: Co2CuSi
Method: DFT, GGA-PBE
State: relaxed

Results
- Space-group type: No. 123
- Total energy: -6.164 eV per atom
- Formation energy (no corrections): -0.231 eV/atom
- Crystal system: tetragonal

a b c (Å): 2.7275 2.7285 5.8853
angles (deg): 90.00 90.00 90.00
With the nearest neighbours (Å) after each atom.
Atoms (fractional coordinates):
Co  0.0000  0.0000  0.5258  4 Si 2.34, 4 Cu 2.52
Co  0.0000  0.0000  0.9742  4 Si 2.34, 4 Cu 2.52
Cu  0.5000  0.5000  0.2500  8 Co 2.52, 4 Cu 2.73
Si  0.5000  0.5000  0.7500  8 Co 2.34

***

No. 8
Material: TaGaMo2
Method: DFT, GGA-PBE
State: relaxed

Results
- Space-group type: No. 123
- Total energy: -9.221 eV per atom
- Crystal system: tetragonal
- E_form: -0.086 eV/atom

a b c (Å): 3.3580 3.3580 5.7539
angles (deg): 90.00 90.00 90.00
With the nearest neighbours (Å) after each atom.
Atoms (fractional coordinates):
Mo  0.0000  0.0000  0.7692  1 Mo 2.66, 4 Ga 2.72, 4 Ta 2.83
Mo  0.0000  0.0000  0.2308  1 Mo 2.66, 4 Ga 2.72, 4 Ta 2.83
Ta  0.5000  0.5000  0.5000  8 Mo 2.83, 2 Ga 2.88
Ga  0.5000  0.5000  0.0000  8 Mo 2.72, 2 Ta 2.88

***

No. 9
Material: Mn2CdBiI
Method: DFT, GGA-PBE
State: relaxed

Results
- Space-group type: No. 123
- Total energy: -4.047 eV per atom
- Formation energy (no corrections): 0.890 eV/atom
- Crystal system: tetragonal

a b c (Å): 5.1101 6.2504 5.1101
angles (deg): 90.00 90.00 90.00
With the nearest neighbours (Å) after each atom.
Atoms (fractional coordinates):
Mn  0.5000  0.0000  0.0000  2 Bi 2.56
Mn  0.0000  0.0000  0.5000  2 Bi 2.56
Bi  0.0000  0.0000  0.0000  4 Mn 2.56
I  0.0000  0.5000  0.0000  2 Bi 3.13
Cd  0.5000  0.5000  0.5000  4 I 3.61, 8 Mn 4.04

***

No. 10
Material: LiCa2LaRh
Method: DFT, GGA-PBE
State: relaxed

Results
- Space-group type: No. 123
- Total energy: -3.874 eV per atom
- Crystal system: tetragonal
- E_form: -0.235 eV/atom

a b c (Å): 5.6682 5.6682 5.4193
angles (deg): 90.00 90.00 90.00
With the nearest neighbours (Å) after each atom.
Atoms (fractional coordinates):
Ca  0.5000  0.0000  0.0000  2 Rh 2.83
Ca  0.0000  0.5000  0.0000  2 Rh 2.83
La  0.0000  0.0000  0.5000  2 Rh 2.71
Li  0.5000  0.5000  0.5000  8 Ca 3.92, 4 La 4.01
Rh  0.0000  0.0000  0.0000  2 La 2.71, 4 Ca 2.83

***

No. 11
Material: Pr2PaIn
Method: DFT, GGA-PBE
State: relaxed

Results
- Space-group type: No. 123
- Total energy: -5.453 eV per atom
- Relative energy among the computed polymorphs: 0.114 eV per formula unit
- Crystal system: tetragonal
- E_form: -0.005 eV/atom

a b c (Å): 4.6621 5.0034 5.0034
angles (deg): 90.00 90.00 90.00
With the nearest neighbours (Å) after each atom.
Atoms (fractional coordinates):
In  0.5000  0.0000  0.0000  8 Pr 3.42, 4 Pa 3.54
Pa  0.5000  0.5000  0.5000  8 Pr 3.42, 4 In 3.54
Pr  0.0000  0.0000  0.5000  4 Pa 3.42, 4 In 3.42, 4 Pr 3.54
Pr  0.0000  0.5000  0.0000  4 Pa 3.42, 4 In 3.42, 4 Pr 3.54

***

No. 12
Material: CeSm12Hg6
Method: DFT, GGA-PBE
State: relaxed

Results
- Space-group type: No. 148
- Total energy: -3.565 eV per atom
- Crystal system: trigonal
- E_form: -0.177 eV/atom

a b c (Å): 8.2394 8.2394 8.2394
angles (deg): 88.49 88.49 88.49
With the nearest neighbours (Å) after each atom.
Atoms (fractional coordinates):
Sm  0.0856  0.1213  0.3894  3 Sm 3.02-3.31, 2 Hg 3.28-3.35
Sm  0.3894  0.0856  0.1213  3 Sm 3.02-3.31, 2 Hg 3.28-3.35
Sm  0.5348  0.4231  0.8103  4 Hg 3.17-3.36, 4 Sm 3.40-3.48
Sm  0.5769  0.1897  0.4652  4 Hg 3.17-3.36, 4 Sm 3.40-3.48
Sm  0.4652  0.5769  0.1897  4 Hg 3.17-3.36, 4 Sm 3.40-3.48
Sm  0.8787  0.6106  0.9144  3 Sm 3.02-3.31, 2 Hg 3.28-3.35
Sm  0.4231  0.8103  0.5348  4 Hg 3.17-3.36, 4 Sm 3.40-3.48
Sm  0.9144  0.8787  0.6106  3 Sm 3.02-3.31, 2 Hg 3.28-3.35
Sm  0.1213  0.3894  0.0856  3 Sm 3.02-3.31, 2 Hg 3.28-3.35
Sm  0.6106  0.9144  0.8787  3 Sm 3.02-3.31, 2 Hg 3.28-3.35
Sm  0.1897  0.4652  0.5769  4 Hg 3.17-3.36, 4 Sm 3.40-3.48
Sm  0.8103  0.5348  0.4231  4 Hg 3.17-3.36, 4 Sm 3.40-3.48
Hg  0.7216  0.8764  0.2573  7 Sm 3.17-3.40, 1 Ce 3.25, 2 Hg 3.47
Hg  0.2573  0.7216  0.8764  7 Sm 3.17-3.40, 1 Ce 3.25, 2 Hg 3.47
Hg  0.2784  0.1236  0.7427  7 Sm 3.17-3.40, 1 Ce 3.25, 2 Hg 3.47
Hg  0.7427  0.2784  0.1236  7 Sm 3.17-3.40, 1 Ce 3.25, 2 Hg 3.47
Hg  0.8764  0.2573  0.7216  7 Sm 3.17-3.40, 1 Ce 3.25, 2 Hg 3.47
Hg  0.1236  0.7427  0.2784  7 Sm 3.17-3.40, 1 Ce 3.25, 2 Hg 3.47
Ce  0.0000  0.0000  0.0000  6 Hg 3.25, 6 Sm 3.48